DFT (GGA-PBE) results for a relaxed Sc4Ga2PdRh crystal.

Properties
Its total magnetization is 0.00 μB/f.u. The energy relative to the elements is -17.53 kcal/mol of atoms. The calculation puts the total energy at -50.00 eV/f.u. As for the crystal system: trigonal.

The structure in CIF format:
```
data_Sc4Ga2PdRh
_space_group_name_H-M_alt 'R -3 m'
_space_group_IT_number 166
_space_group_name_Hall '-R 3 2"'
_cell_length_a 4.6935
_cell_length_b 4.6935
_cell_length_c 23.0189
_cell_angle_alpha 90.00
_cell_angle_beta 90.00
_cell_angle_gamma 120.00
loop_
_atom_site_label
_atom_site_type_symbol
_atom_site_fract_x
_atom_site_fract_y
_atom_site_fract_z
Sc1 Sc 0.0000 0.0000 0.1234
Sc2 Sc 0.0000 0.0000 0.3735
Ga1 Ga 0.0000 0.0000 0.2491
Pd1 Pd 0.0000 0.0000 0.5000
Rh1 Rh 0.0000 0.0000 0.0000
```